Computed, not measured: a geometry-optimized La6TlPb structure at the PBE level of DFT.

Output
Space group = No. 123
Energy relative to the elements = -0.318 eV per atom
Density of states at the Fermi level = 12.42 states/eV/f.u.

abc: 5.0763 5.0763 10.1363
angles: 90.00 90.00 90.00
With the nearest neighbours (Å) after each atom.
Atoms (fractional coordinates):
La: 0.0000 0.5000 0.7495  2 Pb 3.58, 8 La 3.58-3.59, 2 Tl 3.59
La: 0.5000 0.5000 0.5000  8 La 3.58, 4 Pb 3.59
La: 0.5000 0.0000 0.2505  8 La 3.58-3.59, 2 Pb 3.58, 2 Tl 3.59
La: 0.5000 0.0000 0.7495  8 La 3.58-3.59, 2 Pb 3.58, 2 Tl 3.59
La: 0.5000 0.5000 0.0000  4 Tl 3.59, 8 La 3.59
La: 0.0000 0.5000 0.2505  8 La 3.58-3.59, 2 Pb 3.58, 2 Tl 3.59
Pb: 0.0000 0.0000 0.5000  12 La 3.58-3.59
Tl: 0.0000 0.0000 0.0000  12 La 3.59

Computed, not measured: a geometry-optimized LaTl15Pb4 structure at the PBE level of DFT.

Output
Space group = No. 123
Energy relative to the elements = -0.052 eV per atom
Density of states at the Fermi level = 9.73 states/eV/f.u.

abc: 5.1086 5.1086 23.4185
angles: 90.00 90.00 90.00
With the nearest neighbours (Å) after each atom.
Atoms (fractional coordinates):
Tl: 0.5000 0.5000 0.6020  8 Tl 3.45-3.50, 4 Pb 3.61
Tl: 0.0000 0.5000 0.0989  2 Pb 3.30, 8 Tl 3.45-3.61, 2 La 3.45
Tl: 0.5000 0.0000 0.7012  8 Tl 3.43-3.61, 4 Pb 3.45-3.64
Tl: 0.5000 0.0000 0.5000  8 Tl 3.50-3.61, 4 Pb 3.50
Tl: 0.5000 0.0000 0.2988  8 Tl 3.43-3.61, 4 Pb 3.45-3.64
Tl: 0.5000 0.5000 0.7991  8 Tl 3.43-3.50, 4 Pb 3.62
Tl: 0.0000 0.5000 0.2988  8 Tl 3.43-3.61, 4 Pb 3.45-3.64
Tl: 0.5000 0.5000 0.3980  8 Tl 3.45-3.50, 4 Pb 3.61
Tl: 0.5000 0.5000 0.0000  8 Tl 3.45, 4 La 3.61
Tl: 0.0000 0.5000 0.5000  8 Tl 3.50-3.61, 4 Pb 3.50
Tl: 0.0000 0.5000 0.7012  8 Tl 3.43-3.61, 4 Pb 3.45-3.64
Tl: 0.0000 0.5000 0.9011  2 Pb 3.30, 8 Tl 3.45-3.61, 2 La 3.45
Tl: 0.5000 0.0000 0.0989  2 Pb 3.30, 2 La 3.45, 8 Tl 3.45-3.61
Tl: 0.5000 0.5000 0.2009  8 Tl 3.43-3.50, 4 Pb 3.62
Tl: 0.5000 0.0000 0.9011  2 Pb 3.30, 2 La 3.45, 8 Tl 3.45-3.61
Pb: 0.0000 0.0000 0.8118  12 Tl 3.30-3.64
Pb: 0.0000 0.0000 0.1882  12 Tl 3.30-3.64
Pb: 0.0000 0.0000 0.3978  12 Tl 3.45-3.61
Pb: 0.0000 0.0000 0.6022  12 Tl 3.45-3.61
La: 0.0000 0.0000 0.0000  12 Tl 3.45-3.61

Computed, not measured: a geometry-optimized LaYTlPb structure at the PBE level of DFT.

Output
Energy above the most stable polymorph in this dataset = 22.6 meV/atom
Space group = No. 216
Energy relative to the elements = -0.442 eV per atom
Density of states at the Fermi level = 2.66 states/eV/f.u.

abc: 5.5390 5.5390 5.5390
angles: 60.00 60.00 60.00
With the nearest neighbours (Å) after each atom.
Atoms (fractional coordinates):
Y: 0.0000 0.0000 0.0000  4 Pb 3.39, 4 Tl 3.39
Pb: 0.2500 0.2500 0.2500  4 La 3.39, 4 Y 3.39
La: 0.5000 0.5000 0.5000  4 Tl 3.39, 4 Pb 3.39
Tl: 0.7500 0.7500 0.7500  4 La 3.39, 4 Y 3.39

Computed, not measured: a geometry-optimized LaYTlPb structure at the PBE level of DFT.

Output
Energy above the most stable polymorph in this dataset = 0.0 meV/atom
Space group = No. 119
Energy relative to the elements = -0.465 eV per atom
Density of states at the Fermi level = 3.20 states/eV/f.u.

abc: 5.1522 5.1522 5.7680
angles: 116.57 116.53 90.00
With the nearest neighbours (Å) after each atom.
Atoms (fractional coordinates):
Y: 0.2500 0.7501 0.5000  4 Tl 3.41, 4 Pb 3.41, 4 La 3.64
Tl: 0.5000 0.5003 0.0000  4 La 3.41, 4 Y 3.41, 4 Pb 3.64-3.65
La: 0.7500 0.2499 0.5000  4 Tl 3.41, 4 Pb 3.41, 4 Y 3.64
Pb: 0.0000 0.9996 0.0000  4 La 3.41, 4 Y 3.41, 4 Tl 3.64-3.65